Material: BaCd6Pt4
Method: DFT, PBE
State: relaxed

The structure belongs to space group P-6m2 (No. 187); the cell edges are 7.8501, 7.8501 and 4.5173 Å and the angles 90.00°, 90.00° and 120.00°. The asymmetric unit holds Ba at (0.0000, 0.0000, 0.0000), Cd at (0.0690, 0.5345, 0.0000), Cd at (0.4008, 0.2004, 0.5000), Pt at (0.2107, 0.4213, 0.5000) and Pt at (0.6667, 0.3333, 0.0000).

Its calculated formation energy is -0.39 eV per atom. Its total magnetization is 0.000 μB/f.u.